LaZrBi2 | PBE | relaxed

POSCAR file:
```
LaZrBi2
1.0
0.000 3.861 3.861
3.861 0.000 3.861
3.861 3.861 0.000
La Zr Bi
1 1 2
Cartesian
0.000 0.000 0.000
3.861 3.861 3.861
1.930 1.930 1.930
5.791 5.791 5.791
```

Computed properties:
Formation energy ... -0.45 eV per atom
Space group ... No. 225
Crystal system ... cubic

ZrAlTc2 | PBE | relaxed

POSCAR file:
```
ZrAlTc2
1.0
1.550 0.895 8.060
-1.550 0.895 8.060
0.000 -1.789 8.060
Zr Al Tc
1 1 2
Cartesian
0.000 0.000 0.000
0.000 0.000 12.090
0.000 0.000 5.950
0.000 0.000 18.231
```

Computed properties:
Formation energy ... 0.01 eV per atom
Space group ... No. 166
Crystal system ... trigonal

K5TiSe4 | PBE | relaxed

POSCAR file:
```
K5TiSe4
1.0
9.740 0.000 0.000
0.000 10.125 0.000
0.000 0.000 7.717
K Ti Se
10 2 8
Cartesian
0.100 0.568 1.842
0.100 4.495 1.842
2.435 7.594 2.630
4.770 0.568 1.842
4.770 4.495 1.842
4.970 5.630 5.875
4.970 9.558 5.875
7.305 2.531 5.087
9.640 5.630 5.875
9.640 9.558 5.875
2.435 2.531 5.514
7.305 7.594 2.203
0.335 2.531 6.900
2.435 0.430 4.122
2.435 4.632 4.122
4.535 2.531 6.900
5.205 7.594 0.817
7.305 5.493 3.595
7.305 9.695 3.595
9.405 7.594 0.817
```

Computed properties:
ΔE_f (raw) ... -1.11 eV per atom
Space group ... No. 59
Crystal system ... orthorhombic

Pm2NpFe2N6 | PBE | relaxed

POSCAR file:
```
Pm2NpFe2N6
1.0
2.848 1.644 5.535
-2.848 1.644 5.535
0.000 -3.289 5.535
Pm Np Fe N
2 1 2 6
Cartesian
0.000 0.000 3.496
0.000 0.000 13.110
0.000 0.000 0.000
0.000 0.000 6.772
0.000 0.000 9.835
-1.492 -0.861 9.561
0.000 -1.723 7.046
-1.492 0.861 7.046
1.492 -0.861 9.561
0.000 1.723 9.561
1.492 0.861 7.046
```

Computed properties:
ΔE_f (raw) ... -0.62 eV per atom
Space group ... No. 166
Crystal system ... trigonal

Na3TlTe3 | PBE | relaxed

POSCAR file:
```
Na3TlTe3
1.0
8.943 0.000 0.000
0.000 8.131 0.000
-0.854 0.000 13.977
Na Tl Te
12 4 12
Cartesian
0.746 2.032 1.533
0.319 2.034 8.521
1.132 5.648 2.174
0.705 6.549 9.163
3.117 1.623 4.753
2.690 2.443 11.742
5.398 5.689 2.235
4.971 6.508 9.223
7.384 1.582 4.814
6.957 2.483 11.802
7.770 6.098 5.455
7.342 6.099 12.444
2.575 5.088 6.086
2.148 7.109 13.074
5.940 1.023 0.902
5.513 3.043 7.890
0.250 0.435 11.453
0.678 3.631 4.465
1.070 4.508 13.403
1.497 7.689 6.415
3.334 0.115 1.900
2.907 3.951 8.888
5.181 4.181 5.089
4.754 8.016 12.077
6.591 0.443 7.562
7.018 3.623 0.574
7.411 4.500 9.512
7.838 7.697 2.523
```

Computed properties:
ΔE_f (raw) ... -0.60 eV per atom
Space group ... No. 14
Crystal system ... monoclinic

CoPb2Br | PBE | relaxed

POSCAR file:
```
CoPb2Br
1.0
3.484 0.000 0.000
0.000 4.917 0.000
0.000 0.000 6.237
Co Pb Br
1 2 1
Cartesian
0.000 0.000 0.000
0.000 2.459 3.119
1.742 2.459 0.000
1.742 0.000 3.119
```

Computed properties:
ΔE_f (raw) ... 0.46 eV per atom
Space group ... No. 47
Crystal system ... orthorhombic

BaPm2Tl | PBE | relaxed

POSCAR file:
```
BaPm2Tl
1.0
2.676 1.545 6.449
-2.676 1.545 6.449
0.000 -3.089 6.449
Ba Pm Tl
1 2 1
Cartesian
0.000 0.000 0.000
0.000 0.000 4.114
0.000 0.000 8.664
0.000 0.000 15.613
```

Computed properties:
Formation energy ... 0.03 eV per atom
Space group ... No. 160
Crystal system ... trigonal

KTcRhO6 | PBE | relaxed

POSCAR file:
```
KTcRhO6
1.0
5.316 0.000 0.000
-2.658 4.604 0.000
0.000 0.000 5.857
K Tc Rh O
1 1 1 6
Cartesian
0.000 0.000 0.000
0.000 3.069 2.928
2.658 1.535 2.928
-1.004 1.831 3.986
-1.574 2.819 1.870
1.004 1.831 1.870
-0.571 4.558 3.986
1.574 2.819 3.986
0.571 4.558 1.870
```

Computed properties:
ΔE_f (raw) ... -1.16 eV per atom
Space group ... No. 149
Crystal system ... trigonal

RbCaNbO4 | PBE | relaxed

POSCAR file:
```
RbCaNbO4
1.0
6.196 0.000 0.000
0.000 6.288 0.000
-2.118 0.000 7.395
Rb Ca Nb O
2 2 2 8
Cartesian
0.389 1.572 3.224
3.689 4.716 4.171
-0.077 1.572 7.097
4.155 4.716 0.298
1.043 4.716 1.115
3.034 1.572 6.280
-1.886 4.716 6.843
-0.451 4.716 2.251
2.273 3.281 1.260
2.273 6.151 1.260
1.805 0.137 6.135
1.805 3.007 6.135
4.529 1.572 5.144
5.963 1.572 0.552
```

Computed properties:
ΔE_f (raw) ... -2.55 eV per atom
Space group ... No. 11
Crystal system ... monoclinic

PPtSN2 | PBE | relaxed

POSCAR file:
```
PPtSN2
1.0
3.671 0.000 0.000
0.000 3.671 0.000
0.000 0.000 8.701
P Pt S N
1 1 1 2
Cartesian
0.000 0.000 0.000
1.836 1.836 4.351
1.836 1.836 0.000
0.000 1.836 4.351
1.836 0.000 4.351
```

Computed properties:
ΔE_f (raw) ... 1.34 eV per atom
Space group ... No. 123
Crystal system ... tetragonal